## ScFe6Ge6 (PBE-GGA)

Data for an optimized crystal structure of ScFe6Ge6.

extended XYZ file:
```
13
Lattice="-3.177 3.734 -1.235 -1.714 -4.737 0.434 -1.536 1.270 7.792" Properties=species:S:1:pos:R:3 pbc="T T T"
Fe -2.011 -1.414 6.072
Fe -2.743 2.821 5.237
Fe -1.239 -2.053 2.155
Fe -3.600 0.453 5.454
Fe -2.827 -0.186 1.538
Fe -1.971 2.183 1.320
Ge -2.689 0.911 -0.679
Ge -1.011 0.836 5.127
Ge -3.457 1.546 3.218
Ge -2.201 -1.913 -0.122
Ge -0.525 0.434 2.665
Ge -2.970 -1.278 3.774
Sc 0.000 0.000 0.000
```

Summary:
Total magnetic moment in μB per cell: 10.2
VASP energy in eV per formula unit: -88.44
SG: P6/mmm (191)
Calculated volume in Å³/atom: 13.7

---

## Tc2C (PBE-GGA)

Data for an optimized crystal structure of Tc2C.

extended XYZ file:
```
6
Lattice="0.826 2.732 -4.666 -3.496 -1.888 3.758 0.443 4.009 2.426" Properties=species:S:1:pos:R:3 pbc="T T T"
C -3.041 -0.517 3.693
C 0.813 5.370 -2.174
Tc -1.457 1.176 0.605
Tc -0.771 3.677 0.913
Tc -1.930 2.438 3.172
Tc -0.298 2.415 -1.654
```

Summary:
Total magnetic moment in μB per cell: 0.0
VASP energy in eV per formula unit: -28.49
Offset from the most stable computed form in eV per atom: 0.416
SG: Cmcm (63)
Calculated volume in Å³/atom: 12.2

---

## RbNaRuS2 (PBE-GGA)

Data for an optimized crystal structure of RbNaRuS2.

extended XYZ file:
```
5
Lattice="-3.749 -0.114 3.669 -3.443 -1.120 -3.553 0.890 -5.117 0.751" Properties=species:S:1:pos:R:3 pbc="T T T"
Na 0.000 0.000 0.000
Ru -1.722 -0.560 -1.776
S -1.875 -0.057 1.835
S 0.445 -2.558 0.375
Rb -3.151 -3.175 0.434
```

Summary:
Total magnetic moment in μB per cell: 4.0
VASP energy in eV per formula unit: -15.78
Formation energy (no corrections) in eV per atom: 0.81
SG: P4/mmm (123)
Calculated volume in Å³/atom: 27.9

---

## YTa2CoAs (PBE-GGA)

Data for an optimized crystal structure of YTa2CoAs.

extended XYZ file:
```
5
Lattice="4.970 0.000 0.000 0.000 5.055 0.000 0.000 0.000 4.970" Properties=species:S:1:pos:R:3 pbc="T T T"
Ta 0.000 0.000 2.485
Ta 2.485 0.000 0.000
As 0.000 2.527 0.000
Y 0.000 0.000 0.000
Co 2.485 2.527 2.485
```

Summary:
Total magnetic moment in μB per cell: 0.0
VASP energy in eV per formula unit: -29.65
SG: P4/mmm (123)
Calculated volume in Å³/atom: 25.0

---

## Na2AlSnH (PBE-GGA)

Data for an optimized crystal structure of Na2AlSnH.

extended XYZ file:
```
5
Lattice="-0.307 4.840 -3.562 -2.766 -1.686 -2.053 -4.157 2.405 3.625" Properties=species:S:1:pos:R:3 pbc="T T T"
Na -2.078 1.202 1.813
Na -0.153 2.420 -1.781
H -1.383 -0.843 -1.027
Sn 0.000 0.000 0.000
Al -3.615 2.779 -0.995
```

Summary:
Total magnetic moment in μB per cell: 0.0
VASP energy in eV per formula unit: -11.45
Offset from the most stable computed form in eV per atom: 0.442
SG: P4/mmm (123)
Calculated volume in Å³/atom: 27.8

---

## Pr3Dy4 (PBE-GGA)

Data for an optimized crystal structure of Pr3Dy4.

extended XYZ file:
```
7
Lattice="-3.519 -0.460 0.722 0.202 -4.682 -1.998 4.613 -2.159 12.024" Properties=species:S:1:pos:R:3 pbc="T T T"
Dy 2.632 -6.392 8.750
Dy 1.783 -5.034 5.482
Dy -1.334 -0.910 1.998
Dy -0.486 -2.268 5.266
Pr 0.947 -3.695 2.259
Pr 0.350 -3.607 8.489
Pr 0.101 -2.341 -0.999
```

Summary:
Total magnetic moment in μB per cell: 0.0
VASP energy in eV per formula unit: -32.61
SG: Immm (71)
Calculated volume in Å³/atom: 33.4

---

## MgOsSe2 (PBE-GGA)

Data for an optimized crystal structure of MgOsSe2.

extended XYZ file:
```
4
Lattice="4.631 0.000 0.000 2.316 4.011 0.000 2.316 1.337 3.781" Properties=species:S:1:pos:R:3 pbc="T T T"
Se 2.316 1.337 0.945
Se 0.000 0.000 0.000
Os 6.947 4.011 2.836
Mg 4.631 2.674 1.891
```

Summary:
Total magnetic moment in μB per cell: 0.0
VASP energy in eV per formula unit: -17.09
Formation energy (no corrections) in eV per atom: 0.68
SG: F-43m (216)
Calculated volume in Å³/atom: 17.6

---

## Y3Ir2Pd2 (PBE-GGA)

Data for an optimized crystal structure of Y3Ir2Pd2.

extended XYZ file:
```
7
Lattice="-0.571 -1.132 -4.558 -0.372 -3.337 3.327 -6.686 3.942 -0.113" Properties=species:S:1:pos:R:3 pbc="T T T"
Y -2.434 -2.224 0.859
Y 0.000 0.000 0.000
Y -5.194 1.698 -2.203
Pd -4.264 -1.159 -1.620
Pd -3.364 0.633 0.276
Ir -1.449 -1.688 -1.854
Ir -6.179 1.162 0.510
```

Summary:
Total magnetic moment in μB per cell: 0.0
VASP energy in eV per formula unit: -52.44
SG: C2/m (12)
Calculated volume in Å³/atom: 20.1

---

> The lowest calculated volume belongs to which entry?

Tc2C